No. 1
# CrNiOs, optimized geometry, DFT PBE-GGA
# SG = No. 156
# Offset from the most stable computed form = 32 meV per atom
# Raw total energy = -26.33 eV/cell
data_CrNiOs
_chemical_formula_sum 'Cr1 Ni1 Os1'
_symmetry_space_group_name_H-M 'P 1'
_symmetry_Int_Tables_number 1
_symmetry_space_group_name_Hall 'P 1'
_cell_length_a 4.0987
_cell_length_b 4.0987
_cell_length_c 2.5545
_cell_angle_alpha 90.00
_cell_angle_beta 90.00
_cell_angle_gamma 120.00
loop_
_atom_site_label
_atom_site_fract_x
_atom_site_fract_y
_atom_site_fract_z
_atom_site_occupancy
Os1 0.6667 0.3333 0.6676 1
Cr1 0.0000 0.0000 0.1648 1
Ni1 0.3333 0.6667 0.1676 1

---

No. 2
# CrNiOs, optimized geometry, DFT PBE-GGA
# SG = No. 63
# Offset from the most stable computed form = 147 meV per atom
# Raw total energy = -51.97 eV/cell
data_CrNiOs
_chemical_formula_sum 'Cr2 Ni2 Os2'
_symmetry_space_group_name_H-M 'P 1'
_symmetry_Int_Tables_number 1
_symmetry_space_group_name_Hall 'P 1'
_cell_length_a 4.4342
_cell_length_b 4.4342
_cell_length_c 4.7478
_cell_angle_alpha 90.00
_cell_angle_beta 90.00
_cell_angle_gamma 124.01
loop_
_atom_site_label
_atom_site_fract_x
_atom_site_fract_y
_atom_site_fract_z
_atom_site_occupancy
Os1 0.3918 0.6082 0.7500 1
Os2 0.6082 0.3918 0.2500 1
Ni1 0.0000 0.0000 0.0000 1
Ni2 0.0000 0.0000 0.5000 1
Cr1 0.2834 0.7166 0.2500 1
Cr2 0.7166 0.2834 0.7500 1

---

No. 3
# CrNiOs, optimized geometry, DFT PBE-GGA
# SG = No. 44
# Offset from the most stable computed form = 0 meV per atom
# Raw total energy = -26.42 eV/cell
data_CrNiOs
_chemical_formula_sum 'Cr1 Ni1 Os1'
_symmetry_space_group_name_H-M 'P 1'
_symmetry_Int_Tables_number 1
_symmetry_space_group_name_Hall 'P 1'
_cell_length_a 4.4809
_cell_length_b 4.4809
_cell_length_c 4.4809
_cell_angle_alpha 146.75
_cell_angle_beta 130.36
_cell_angle_gamma 61.06
loop_
_atom_site_label
_atom_site_fract_x
_atom_site_fract_y
_atom_site_fract_z
_atom_site_occupancy
Cr1 0.0004 0.0004 0.0000 1
Ni1 0.6668 0.6668 0.0000 1
Os1 0.3329 0.3329 0.0000 1

---

No. 4
# CrNi6Os2, optimized geometry, DFT PBE-GGA
# SG = No. 12
# Raw total energy = -65.24 eV/cell
data_CrNi6Os2
_chemical_formula_sum 'Cr1 Ni6 Os2'
_symmetry_space_group_name_H-M 'P 1'
_symmetry_Int_Tables_number 1
_symmetry_space_group_name_Hall 'P 1'
_cell_length_a 4.1821
_cell_length_b 4.5691
_cell_length_c 6.6447
_cell_angle_alpha 116.23
_cell_angle_beta 108.35
_cell_angle_gamma 90.00
loop_
_atom_site_label
_atom_site_fract_x
_atom_site_fract_y
_atom_site_fract_z
_atom_site_occupancy
Ni1 0.7126 0.8386 0.4252 1
Ni2 0.3918 0.8207 0.7837 1
Ni3 0.1744 0.4918 0.3489 1
Ni4 0.8256 0.5082 0.6511 1
Ni5 0.2874 0.1614 0.5748 1
Ni6 0.6082 0.1793 0.2163 1
Os1 0.9400 0.1668 0.8800 1
Os2 0.0600 0.8332 0.1200 1
Cr1 0.5000 0.5000 0.0000 1

---

Look up the raw total energy of the second one.
-51.97 eV/cell

---

Which of these has the highest raw total energy?
number 1

---

The highest raw total energy belongs to which entry?
number 1

---

The lowest raw total energy belongs to which entry?
CrNi6Os2